Material: BeReIr3
Method: DFT, PBEsol
State: relaxed Values from VASP.

Values from the calculation:
Electronic total energy   -7.21 eV per atom
Space group   Pm-3m (221)
Density   12.54 g cm⁻³
D(E_F)   5.41 states/eV per cell
Magnetization   0.0 Bohr magnetons per cell

Geometry as Quantum ESPRESSO input:
```
&SYSTEM
  ibrav = 0, nat = 5, ntyp = 3
/
ATOMIC_SPECIES
Be 9.01 Be.upf
Re 186.21 Re.upf
Ir 192.22 Ir.upf
CELL_PARAMETERS angstrom
4.675 0.000 0.000
0.000 4.675 0.000
0.000 0.000 4.675
ATOMIC_POSITIONS angstrom
Be 0.000 0.000 0.000
Re 2.338 2.338 2.338
Ir 0.000 2.338 2.338
Ir 2.338 0.000 2.338
Ir 2.338 2.338 0.000
```


Material: K2FeAs
Method: DFT, PBEsol
State: relaxed Values from VASP.

Values from the calculation:
Electronic total energy   -3.48 eV per atom
Space group   I4/mmm (139)
Density   3.76 g cm⁻³
D(E_F)   10.74 states/eV per cell
Magnetization   6.1 Bohr magnetons per cell

Geometry as Quantum ESPRESSO input:
```
&SYSTEM
  ibrav = 0, nat = 8, ntyp = 3
/
ATOMIC_SPECIES
K 39.10 K.upf
Fe 55.84 Fe.upf
As 74.92 As.upf
CELL_PARAMETERS angstrom
4.223 0.000 0.000
0.000 4.223 0.000
0.000 0.000 10.349
ATOMIC_POSITIONS angstrom
K 0.000 2.112 2.587
K 0.000 2.112 7.762
K 2.112 0.000 2.587
K 2.112 0.000 7.762
Fe 0.000 0.000 0.000
Fe 2.112 2.112 5.175
As 0.000 0.000 5.175
As 2.112 2.112 0.000
```


Material: LiIrCl3
Method: DFT, PBEsol
State: relaxed Values from VASP.

Values from the calculation:
Electronic total energy   -3.18 eV per atom
Space group   Pm-3m (221)
Density   5.74 g cm⁻³
Formation energy (no corrections)   0.381 eV per atom
D(E_F)   3.98 states/eV per cell
Magnetization   3.1 Bohr magnetons per cell

Geometry as Quantum ESPRESSO input:
```
&SYSTEM
  ibrav = 0, nat = 5, ntyp = 3
/
ATOMIC_SPECIES
Li 6.94 Li.upf
Ir 192.22 Ir.upf
Cl 35.45 Cl.upf
CELL_PARAMETERS angstrom
4.455 0.000 0.000
0.000 4.455 0.000
0.000 0.000 4.455
ATOMIC_POSITIONS angstrom
Li 0.000 0.000 0.000
Ir 2.227 2.227 2.227
Cl 0.000 0.000 2.227
Cl 0.000 2.227 0.000
Cl 2.227 0.000 0.000
```


Material: LaSiHg2
Method: DFT, PBEsol
State: relaxed Values from VASP.

Values from the calculation:
Electronic total energy   -3.39 eV per atom
Space group   R-3m (166)
Density   9.90 g cm⁻³
Formation energy (no corrections)   -0.335 eV per atom
D(E_F)   4.96 states/eV per cell
Magnetization   0.0 Bohr magnetons per cell

Geometry as Quantum ESPRESSO input:
```
&SYSTEM
  ibrav = 0, nat = 12, ntyp = 3
/
ATOMIC_SPECIES
La 138.91 La.upf
Si 28.09 Si.upf
Hg 200.59 Hg.upf
CELL_PARAMETERS angstrom
4.520 0.000 0.000
-2.260 3.914 0.000
0.000 0.000 16.156
ATOMIC_POSITIONS angstrom
La 0.000 0.000 0.000
La 0.000 2.610 10.771
La 2.260 1.305 5.385
Si 0.000 0.000 8.078
Si 0.000 2.610 2.693
Si 2.260 1.305 13.463
Hg 0.000 0.000 3.653
Hg 0.000 0.000 12.503
Hg 0.000 2.610 7.117
Hg 0.000 2.610 14.424
Hg 2.260 1.305 1.732
Hg 2.260 1.305 9.039
```


Material: ZrNi2SeBr
Method: DFT, PBEsol
State: relaxed Values from VASP.

Values from the calculation:
Electronic total energy   -4.93 eV per atom
Space group   P4/mmm (123)
Density   6.03 g cm⁻³
Formation energy (no corrections)   0.494 eV per atom
D(E_F)   4.25 states/eV per cell
Magnetization   0.0 Bohr magnetons per cell

Geometry as Quantum ESPRESSO input:
```
&SYSTEM
  ibrav = 0, nat = 5, ntyp = 4
/
ATOMIC_SPECIES
Zr 91.22 Zr.upf
Ni 58.69 Ni.upf
Se 78.96 Se.upf
Br 79.90 Br.upf
CELL_PARAMETERS angstrom
4.163 0.000 0.000
0.000 4.163 0.000
0.000 0.000 5.838
ATOMIC_POSITIONS angstrom
Zr 0.000 0.000 0.000
Ni 0.000 2.081 2.919
Ni 2.081 0.000 2.919
Se 2.081 2.081 2.919
Br 2.081 2.081 0.000
```


Material: TiCuCl3
Method: DFT, PBEsol
State: relaxed Values from VASP.

Values from the calculation:
Electronic total energy   -4.26 eV per atom
Space group   Pm-3m (221)
Density   3.36 g cm⁻³
Formation energy (no corrections)   -0.520 eV per atom
D(E_F)   3.86 states/eV per cell
Magnetization   1.7 Bohr magnetons per cell

Geometry as Quantum ESPRESSO input:
```
&SYSTEM
  ibrav = 0, nat = 5, ntyp = 3
/
ATOMIC_SPECIES
Ti 47.87 Ti.upf
Cu 63.55 Cu.upf
Cl 35.45 Cl.upf
CELL_PARAMETERS angstrom
4.754 0.000 0.000
0.000 4.754 0.000
0.000 0.000 4.754
ATOMIC_POSITIONS angstrom
Ti 0.000 0.000 0.000
Cu 2.377 2.377 2.377
Cl 0.000 0.000 2.377
Cl 0.000 2.377 0.000
Cl 2.377 0.000 0.000
```


Material: HfS2O
Method: DFT, PBEsol
State: relaxed Values from VASP.

Values from the calculation:
Electronic total energy   -7.05 eV per atom
Space group   R-3m (166)
Density   6.10 g cm⁻³
Formation energy (no corrections)   -0.917 eV per atom
D(E_F)   1.79 states/eV per cell
Magnetization   0.0 Bohr magnetons per cell

Geometry as Quantum ESPRESSO input:
```
&SYSTEM
  ibrav = 0, nat = 12, ntyp = 3
/
ATOMIC_SPECIES
Hf 178.49 Hf.upf
S 32.06 S.upf
O 16.00 O.upf
CELL_PARAMETERS angstrom
3.544 0.000 0.000
-1.772 3.069 0.000
0.000 0.000 19.414
ATOMIC_POSITIONS angstrom
Hf 0.000 0.000 0.000
Hf 0.000 2.046 12.943
Hf 1.772 1.023 6.471
S 0.000 0.000 7.944
S 0.000 0.000 11.470
S 0.000 2.046 1.473
S 0.000 2.046 4.999
S 1.772 1.023 14.415
S 1.772 1.023 17.941
O 0.000 0.000 9.707
O 0.000 2.046 3.236
O 1.772 1.023 16.178
```


Material: Os3Se
Method: DFT, PBEsol
State: relaxed Values from VASP.

Values from the calculation:
Electronic total energy   -9.27 eV per atom
Space group   P4/mmm (123)
Density   18.41 g cm⁻³
Formation energy (no corrections)   0.859 eV per atom
Energy above the most stable polymorph in this dataset   172 meV/atom
D(E_F)   5.20 states/eV per cell
Magnetization   0.0 Bohr magnetons per cell

Geometry as Quantum ESPRESSO input:
```
&SYSTEM
  ibrav = 0, nat = 4, ntyp = 2
/
ATOMIC_SPECIES
Os 190.23 Os.upf
Se 78.96 Se.upf
CELL_PARAMETERS angstrom
4.569 0.000 0.000
0.000 4.569 0.000
0.000 0.000 2.807
ATOMIC_POSITIONS angstrom
Os 0.000 0.000 0.000
Os 0.000 2.284 1.403
Os 2.284 0.000 1.403
Se 2.284 2.284 0.000
```